No. 1
# PBE Er6TePb2Se3, optimized geometry
# space group: C2/m, No. 12
# DOS at the Fermi energy: 4.5 states/eV/f.u.
# uncorrected formation energy: -1206 meV per atom
# VASP energy: -5.24 eV per atom
data_Er6TePb2Se3
_space_group_name_H-M_alt 'P 1'
_space_group_IT_number 1
_cell_length_a 4.224
_cell_length_b 8.458
_cell_length_c 9.426
_cell_angle_alpha 102.57
_cell_angle_beta 102.95
_cell_angle_gamma 90.00
loop_
_space_group_symop_operation_xyz
'x,y,z'
loop_
_atom_site_label
_atom_site_type_symbol
_atom_site_fract_x
_atom_site_fract_y
_atom_site_fract_z
Pb1 Pb 0.167 0.332 0.333
Pb2 Pb 0.833 0.668 0.667
Er1 Er 0.664 0.590 0.327
Er2 Er 0.328 0.920 0.657
Er3 Er 0.336 0.410 0.673
Er4 Er 0.672 0.080 0.343
Er5 Er 0.999 0.268 0.998
Er6 Er 0.001 0.732 0.002
Se1 Se 0.500 0.500 0.000
Se2 Se 0.164 0.835 0.329
Se3 Se 0.836 0.165 0.671
Te1 Te 0.500 0.000 0.000

***

No. 2
# PBE LiPmP2, optimized geometry
# energy relative to the elements: -0.651 eV/atom
# space group: R-3m, No. 166
# DOS at the Fermi energy: 3.5 states/eV/f.u.
# VASP energy: -5.02 eV per atom
data_LiPmP2
_space_group_name_H-M_alt 'P 1'
_space_group_IT_number 1
_cell_length_a 4.319
_cell_length_b 4.319
_cell_length_c 5.403
_cell_angle_alpha 66.44
_cell_angle_beta 66.44
_cell_angle_gamma 60.00
loop_
_space_group_symop_operation_xyz
'x,y,z'
loop_
_atom_site_label
_atom_site_type_symbol
_atom_site_fract_x
_atom_site_fract_y
_atom_site_fract_z
P1 P 0.270 0.270 0.190
P2 P 0.730 0.730 0.810
Li1 Li 0.000 0.000 0.000
Pm1 Pm 0.500 0.500 0.500

***

No. 3
# PBE La2Ho7Tm2, optimized geometry
# energy relative to the elements: 0.139 eV/atom
# space group: C2/m, No. 12
# DOS at the Fermi energy: 15.5 states/eV/f.u.
# VASP energy: -4.48 eV per atom
data_La2Ho7Tm2
_space_group_name_H-M_alt 'P 1'
_space_group_IT_number 1
_cell_length_a 3.583
_cell_length_b 10.553
_cell_length_c 10.553
_cell_angle_alpha 66.21
_cell_angle_beta 99.86
_cell_angle_gamma 99.86
loop_
_space_group_symop_operation_xyz
'x,y,z'
loop_
_atom_site_label
_atom_site_type_symbol
_atom_site_fract_x
_atom_site_fract_y
_atom_site_fract_z
Ho1 Ho 0.169 0.418 0.921
Ho2 Ho 0.000 0.000 0.000
Ho3 Ho 0.169 0.921 0.418
Ho4 Ho 0.375 0.372 0.372
Ho5 Ho 0.831 0.079 0.582
Ho6 Ho 0.831 0.582 0.079
Ho7 Ho 0.625 0.628 0.628
Tm1 Tm 0.698 0.198 0.198
Tm2 Tm 0.302 0.802 0.802
La1 La 0.500 0.281 0.719
La2 La 0.500 0.719 0.281

***

No. 4
# PBE PrLuZn2, optimized geometry
# energy relative to the elements: -0.317 eV/atom
# space group: P4/mmm, No. 123
# DOS at the Fermi energy: 3.7 states/eV/f.u.
# VASP energy: -3.28 eV per atom
data_PrLuZn2
_space_group_name_H-M_alt 'P 1'
_space_group_IT_number 1
_cell_length_a 3.554
_cell_length_b 3.554
_cell_length_c 7.399
_cell_angle_alpha 90.00
_cell_angle_beta 90.00
_cell_angle_gamma 90.00
loop_
_space_group_symop_operation_xyz
'x,y,z'
loop_
_atom_site_label
_atom_site_type_symbol
_atom_site_fract_x
_atom_site_fract_y
_atom_site_fract_z
Lu1 Lu 0.500 0.500 0.000
Pr1 Pr 0.500 0.500 0.500
Zn1 Zn 0.000 0.000 0.221
Zn2 Zn 0.000 0.000 0.779

***

No. 5
# PBE BaH2O2, optimized geometry
# space group: P1, No. 1
# DOS at the Fermi energy: 0.0 states/eV/f.u.
# VASP energy: -5.48 eV per atom
data_BaH2O2
_space_group_name_H-M_alt 'P 1'
_space_group_IT_number 1
_cell_length_a 7.166
_cell_length_b 7.818
_cell_length_c 9.407
_cell_angle_alpha 91.45
_cell_angle_beta 95.79
_cell_angle_gamma 90.69
loop_
_space_group_symop_operation_xyz
'x,y,z'
loop_
_atom_site_label
_atom_site_type_symbol
_atom_site_fract_x
_atom_site_fract_y
_atom_site_fract_z
O1 O 0.826 0.519 0.116
O2 O 0.035 0.810 0.337
O3 O 0.183 0.487 0.885
O4 O 0.390 0.849 0.097
O5 O 0.975 0.198 0.683
O6 O 0.112 0.351 0.407
O7 O 0.485 0.356 0.586
O8 O 0.642 0.157 0.921
O9 O 0.487 0.697 0.371
O10 O 0.987 0.171 0.111
O11 O 0.692 0.032 0.389
O12 O 0.324 0.005 0.630
O13 O 0.987 0.828 0.867
O14 O 0.883 0.661 0.596
O15 O 0.443 0.293 0.177
O16 O 0.528 0.708 0.834
Ba1 Ba 0.778 0.865 0.103
Ba2 Ba 0.700 0.969 0.682
Ba3 Ba 0.269 0.643 0.606
Ba4 Ba 0.204 0.547 0.176
Ba5 Ba 0.729 0.413 0.391
Ba6 Ba 0.314 0.046 0.336
Ba7 Ba 0.248 0.117 0.916
Ba8 Ba 0.786 0.460 0.820
H1 H 0.823 0.997 0.392
H2 H 0.234 0.344 0.464
H3 H 0.534 0.280 0.107
H4 H 0.751 0.177 0.992
H5 H 0.312 0.531 0.885
H6 H 0.195 0.047 0.627
H7 H 0.931 0.721 0.687
H8 H 0.466 0.749 0.917
H9 H 0.075 0.734 0.889
H10 H 0.851 0.396 0.106
H11 H 0.442 0.792 0.186
H12 H 0.967 0.771 0.417
H13 H 0.430 0.250 0.619
H14 H 0.024 0.251 0.600
H15 H 0.002 0.215 0.210
H16 H 0.585 0.787 0.390

***

No. 6
# PBE Er2MgGe3Rh4, optimized geometry
# energy relative to the elements: -0.809 eV/atom
# space group: P-4m2, No. 115
# DOS at the Fermi energy: 7.1 states/eV/f.u.
# VASP energy: -6.21 eV per atom
data_Er2MgGe3Rh4
_space_group_name_H-M_alt 'P 1'
_space_group_IT_number 1
_cell_length_a 4.065
_cell_length_b 4.065
_cell_length_c 10.876
_cell_angle_alpha 90.00
_cell_angle_beta 90.00
_cell_angle_gamma 90.00
loop_
_space_group_symop_operation_xyz
'x,y,z'
loop_
_atom_site_label
_atom_site_type_symbol
_atom_site_fract_x
_atom_site_fract_y
_atom_site_fract_z
Rh1 Rh 0.500 0.500 0.000
Rh2 Rh 0.000 0.500 0.352
Rh3 Rh 0.000 0.000 0.000
Rh4 Rh 0.500 0.000 0.648
Er1 Er 0.000 0.500 0.761
Er2 Er 0.500 0.000 0.239
Ge1 Ge 0.500 0.000 0.872
Ge2 Ge 0.000 0.000 0.500
Ge3 Ge 0.000 0.500 0.128
Mg1 Mg 0.500 0.500 0.500

***

No. 7
# PBE Li2TcBr, optimized geometry
# space group: I-4m2, No. 119
# DOS at the Fermi energy: 1.5 states/eV/f.u.
# uncorrected formation energy: 334 meV per atom
# VASP energy: -3.63 eV per atom
data_Li2TcBr
_space_group_name_H-M_alt 'P 1'
_space_group_IT_number 1
_cell_length_a 5.298
_cell_length_b 5.298
_cell_length_c 5.298
_cell_angle_alpha 138.81
_cell_angle_beta 138.81
_cell_angle_gamma 59.66
loop_
_space_group_symop_operation_xyz
'x,y,z'
loop_
_atom_site_label
_atom_site_type_symbol
_atom_site_fract_x
_atom_site_fract_y
_atom_site_fract_z
Li1 Li 0.000 0.000 0.000
Li2 Li 0.250 0.750 0.500
Br1 Br 0.750 0.250 0.500
Tc1 Tc 0.500 0.500 0.000

***

No. 8
# PBE Tb6Sm3Er2Zr, optimized geometry
# energy relative to the elements: 0.043 eV/atom
# space group: C2/m, No. 12
# DOS at the Fermi energy: 14.7 states/eV/f.u.
# VASP energy: -4.92 eV per atom
data_Tb6Sm3Er2Zr
_space_group_name_H-M_alt 'P 1'
_space_group_IT_number 1
_cell_length_a 6.116
_cell_length_b 6.116
_cell_length_c 11.699
_cell_angle_alpha 94.96
_cell_angle_beta 94.96
_cell_angle_gamma 119.91
loop_
_space_group_symop_operation_xyz
'x,y,z'
loop_
_atom_site_label
_atom_site_type_symbol
_atom_site_fract_x
_atom_site_fract_y
_atom_site_fract_z
Sm1 Sm 0.166 0.834 0.500
Sm2 Sm 0.834 0.166 0.500
Sm3 Sm 0.500 0.500 0.500
Tb1 Tb 0.408 0.081 0.242
Tb2 Tb 0.081 0.408 0.242
Tb3 Tb 0.246 0.246 0.758
Tb4 Tb 0.592 0.919 0.758
Tb5 Tb 0.754 0.754 0.242
Tb6 Tb 0.919 0.592 0.758
Er1 Er 0.333 0.667 0.000
Er2 Er 0.667 0.333 0.000
Zr1 Zr 0.000 0.000 0.000

***

No. 9
# PBE Tb6Sm3Er2Pu, optimized geometry
# energy relative to the elements: 0.044 eV/atom
# space group: C2/m, No. 12
# DOS at the Fermi energy: 23.7 states/eV/f.u.
# VASP energy: -5.41 eV per atom
data_Tb6Sm3Er2Pu
_space_group_name_H-M_alt 'P 1'
_space_group_IT_number 1
_cell_length_a 6.160
_cell_length_b 6.160
_cell_length_c 11.756
_cell_angle_alpha 95.03
_cell_angle_beta 95.03
_cell_angle_gamma 120.02
loop_
_space_group_symop_operation_xyz
'x,y,z'
loop_
_atom_site_label
_atom_site_type_symbol
_atom_site_fract_x
_atom_site_fract_y
_atom_site_fract_z
Tb1 Tb 0.918 0.589 0.755
Tb2 Tb 0.752 0.752 0.245
Tb3 Tb 0.248 0.248 0.755
Tb4 Tb 0.589 0.918 0.755
Tb5 Tb 0.411 0.082 0.245
Tb6 Tb 0.082 0.411 0.245
Er1 Er 0.333 0.667 0.000
Er2 Er 0.667 0.333 0.000
Sm1 Sm 0.500 0.500 0.500
Sm2 Sm 0.167 0.833 0.500
Sm3 Sm 0.833 0.167 0.500
Pu1 Pu 0.000 0.000 0.000

***

No. 10
# PBE NiPb3Au, optimized geometry
# energy relative to the elements: 0.187 eV/atom
# space group: Pm-3m, No. 221
# DOS at the Fermi energy: 2.5 states/eV/f.u.
# VASP energy: -3.85 eV per atom
data_NiPb3Au
_space_group_name_H-M_alt 'P 1'
_space_group_IT_number 1
_cell_length_a 5.111
_cell_length_b 5.111
_cell_length_c 5.111
_cell_angle_alpha 90.00
_cell_angle_beta 90.00
_cell_angle_gamma 90.00
loop_
_space_group_symop_operation_xyz
'x,y,z'
loop_
_atom_site_label
_atom_site_type_symbol
_atom_site_fract_x
_atom_site_fract_y
_atom_site_fract_z
Ni1 Ni 0.000 0.000 0.000
Au1 Au 0.500 0.500 0.500
Pb1 Pb 0.000 0.000 0.500
Pb2 Pb 0.000 0.500 0.000
Pb3 Pb 0.500 0.000 0.000

***

No. 11
# PBE ZnMoCl3, optimized geometry
# space group: Pm-3m, No. 221
# DOS at the Fermi energy: 3.1 states/eV/f.u.
# uncorrected formation energy: -214 meV per atom
# VASP energy: -3.74 eV per atom
data_ZnMoCl3
_space_group_name_H-M_alt 'P 1'
_space_group_IT_number 1
_cell_length_a 5.011
_cell_length_b 5.011
_cell_length_c 5.011
_cell_angle_alpha 90.00
_cell_angle_beta 90.00
_cell_angle_gamma 90.00
loop_
_space_group_symop_operation_xyz
'x,y,z'
loop_
_atom_site_label
_atom_site_type_symbol
_atom_site_fract_x
_atom_site_fract_y
_atom_site_fract_z
Mo1 Mo 0.000 0.000 0.000
Cl1 Cl 0.000 0.500 0.000
Cl2 Cl 0.500 0.000 0.000
Cl3 Cl 0.000 0.000 0.500
Zn1 Zn 0.500 0.500 0.500

***

No. 12
# PBE Li3Pd2Pb3, optimized geometry
# energy relative to the elements: -0.326 eV/atom
# space group: P-1, No. 2
# DOS at the Fermi energy: 3.0 states/eV/f.u.
# VASP energy: -3.73 eV per atom
data_Li3Pd2Pb3
_space_group_name_H-M_alt 'P 1'
_space_group_IT_number 1
_cell_length_a 4.421
_cell_length_b 4.603
_cell_length_c 8.640
_cell_angle_alpha 74.33
_cell_angle_beta 75.43
_cell_angle_gamma 90.29
loop_
_space_group_symop_operation_xyz
'x,y,z'
loop_
_atom_site_label
_atom_site_type_symbol
_atom_site_fract_x
_atom_site_fract_y
_atom_site_fract_z
Pd1 Pd 0.752 0.753 0.498
Pd2 Pd 0.248 0.247 0.502
Pb1 Pb 0.355 0.855 0.288
Pb2 Pb 0.500 0.500 0.000
Pb3 Pb 0.645 0.145 0.712
Li1 Li 0.852 0.355 0.293
Li2 Li 0.000 0.000 0.000
Li3 Li 0.148 0.645 0.707